# CdInI2N (PBE, optimized geometry)
data_CdInI2N
_chemical_formula_sum 'Cd1 In1 I2 N1'
_symmetry_space_group_name_H-M 'P 4/m m m'
_symmetry_Int_Tables_number 123
_symmetry_space_group_name_Hall '-P 4 2'
_cell_length_a 6.2010
_cell_length_b 6.2010
_cell_length_c 4.3758
_cell_angle_alpha 90.00
_cell_angle_beta 90.00
_cell_angle_gamma 90.00
loop_
_atom_site_label
_atom_site_type_symbol
_atom_site_fract_x
_atom_site_fract_y
_atom_site_fract_z
Cd1 Cd 0.0000 0.0000 0.0000
In1 In 0.5000 0.5000 0.5000
I1 I 0.0000 0.5000 0.0000
N1 N 0.0000 0.0000 0.5000
# Electronic total energy: -2.617 eV/atom
# Volume: 168 Å³/f.u.